Compound: NaHfS2O8
Source: Alexandria
Functional: PBE-GGA
Structure: optimized geometry

Cell lengths 5.2869, 5.2869, 7.0040 Å; angles 90.00, 90.00, 120.00 degrees
Closest atoms and distances in Å follow each position.
Fractional positions:
O (0.8203, 0.1791, 0.3073)  1 S 1.50
O (0.1797, 0.8209, 0.6927)  1 S 1.50
O (0.8209, 0.6412, 0.3073)  1 S 1.50
O (0.6412, 0.8203, 0.6927)  1 S 1.50
O (0.3588, 0.1797, 0.3073)  1 S 1.50
O (0.6667, 0.3333, 0.0261)  1 S 1.45
O (0.1791, 0.3588, 0.6927)  1 S 1.50
O (0.3333, 0.6667, 0.9739)  1 S 1.45
S (0.3333, 0.6667, 0.7674)  4 O 1.45-1.50
S (0.6667, 0.3333, 0.2326)  4 O 1.45-1.50
Hf (0.0000, 0.0000, 0.5000)  6 O 2.13
Na (0.0000, 0.0000, 0.0000)  6 O 2.71

Properties
**Space group**: No. 164
**Size of the total moment**: 0.921 μB/f.u.
**E_form (uncorrected)**: -1.759 eV/atom